Entry 1:
Compound: NaHfBrF2
Source: Alexandria
Functional: GGA-PBE
Structure: optimized geometry

Cell: 4.166 4.166 6.828 Å, 90.00 90.00 90.00°
Atoms (fractional coordinates):
Na 0.000 0.000 0.000
Hf 0.500 0.500 0.500
Br 0.500 0.500 0.000
F 0.000 0.500 0.500
F 0.500 0.000 0.500

Properties
Space-group type = No. 123
Raw formation energy = -1.943 eV/atom
Fermi-level density of states = 0.626 states/eV/atom

Entry 2:
Compound: SmTm4In2
Source: Alexandria
Functional: GGA-PBE
Structure: optimized geometry

Cell: 7.926 6.750 6.317 Å, 74.60 55.19 50.21°
Atoms (fractional coordinates):
Sm 0.000 0.000 0.000
Tm 0.250 0.250 0.250
Tm 0.332 0.668 0.332
Tm 0.668 0.332 0.668
Tm 0.750 0.750 0.750
In 0.280 0.280 0.720
In 0.720 0.720 0.280

Properties
Space-group type = No. 69
Energy of formation = -0.77 eV/f.u.
Fermi-level density of states = 1.503 states/eV/atom

Entry 3:
Compound: ZnAg6Au8
Source: Alexandria
Functional: GGA-PBE
Structure: optimized geometry

Cell: 7.206 7.206 7.206 Å, 64.75 64.75 64.75°
Atoms (fractional coordinates):
Zn 0.000 0.000 0.000
Ag 0.077 0.674 0.360
Ag 0.326 0.640 0.923
Ag 0.360 0.077 0.674
Ag 0.640 0.923 0.326
Ag 0.674 0.360 0.077
Ag 0.923 0.326 0.640
Au 0.139 0.444 0.808
Au 0.192 0.861 0.556
Au 0.251 0.251 0.251
Au 0.444 0.808 0.139
Au 0.556 0.192 0.861
Au 0.749 0.749 0.749
Au 0.808 0.139 0.444
Au 0.861 0.556 0.192

Properties
Space-group type = No. 148
Energy of formation = 0.91 eV/f.u.
Fermi-level density of states = 0.299 states/eV/atom

> What is the Fermi-level density of states in the first record?

0.626 states/eV/atom